3
Lattice="3.9677 0.0000 0.0000 1.9838 3.4361 0.0000 1.9838 1.1454 3.2396" Properties=species:S:1:pos:R:3 comment="MnBeAl (GGA-PBE, optimized geometry)" crystal_system=cubic e_form_ev_per_atom=0.4378 spacegroup=F-43m energy_ev_per_atom=-5.11 pbc="T T T"
Be 3.9677 2.2907 1.6198
Mn 5.9515 3.4361 2.4297
Al 0.0000 0.0000 0.0000